Compound: ScCrC2
Source: Alexandria
Functional: PBE
Structure: optimized geometry

Fermi-level density of states in states/eV per cell: 2.3
Total DFT energy (no corrections) in eV/atom: -7.94

Cell and atoms, written as POSCAR:
```
ScCrC2
1.0
0.000 2.719 2.719
2.719 0.000 2.719
2.719 2.719 0.000
Sc Cr C
1 1 2
direct
0.000 0.000 0.000
0.500 0.500 0.500
0.250 0.250 0.250
0.750 0.750 0.750
```

---

Compound: HfRhW2
Source: Alexandria
Functional: PBE
Structure: optimized geometry

Fermi-level density of states in states/eV per cell: 5.8
Total DFT energy (no corrections) in eV/atom: -10.30

Cell and atoms, written as POSCAR:
```
HfRhW2
1.0
-3.779 3.779 2.579
3.779 -3.779 2.579
3.779 3.779 -2.579
Hf Rh W
2 2 4
direct
0.000 0.000 0.000
0.750 0.250 0.500
0.250 0.750 0.500
0.500 0.500 0.000
0.159 0.625 0.034
0.375 0.409 0.534
0.591 0.125 0.966
0.875 0.841 0.466
```

---

Compound: K2InF4
Source: Alexandria
Functional: PBE
Structure: optimized geometry

Fermi-level density of states in states/eV per cell: 1.7
Energy relative to the elements, uncorrected in eV/atom: -2.466

Cell and atoms, written as POSCAR:
```
K2InF4
1.0
-2.271 2.271 6.872
2.271 -2.271 6.872
2.271 2.271 -6.872
K In F
2 1 4
direct
0.147 0.147 0.000
0.853 0.853 0.000
0.500 0.500 0.000
0.000 0.500 0.500
0.333 0.333 0.000
0.500 0.000 0.500
0.667 0.667 0.000
```

---

Compound: LiBiNF2
Source: Alexandria
Functional: PBE
Structure: optimized geometry

Fermi-level density of states in states/eV per cell: 1.9
Energy relative to the elements, uncorrected in eV/atom: -0.906

Cell and atoms, written as POSCAR:
```
LiBiNF2
1.0
4.621 0.000 0.000
0.000 4.621 0.000
0.000 0.000 4.231
Li Bi N F
1 1 1 2
direct
0.000 0.000 0.000
0.500 0.500 0.500
0.500 0.500 0.000
0.000 0.500 0.500
0.500 0.000 0.500
```

---

Compound: BaHf2TaCd
Source: Alexandria
Functional: PBE
Structure: optimized geometry

Fermi-level density of states in states/eV per cell: 10.2
Total DFT energy (no corrections) in eV/atom: -5.11

Cell and atoms, written as POSCAR:
```
BaHf2TaCd
1.0
5.285 0.000 0.000
0.000 5.285 0.000
0.000 0.000 5.853
Ba Hf Ta Cd
1 2 1 1
direct
0.000 0.000 0.000
0.000 0.500 0.500
0.500 0.000 0.500
0.500 0.500 0.000
0.000 0.000 0.500
```

---

Compound: Ce3HoTh3Se8
Source: Alexandria
Functional: PBE
Structure: optimized geometry

Fermi-level density of states in states/eV per cell: 21.4
Energy relative to the elements, uncorrected in eV/atom: -1.735

Cell and atoms, written as POSCAR:
```
Ce3HoTh3Se8
1.0
4.174 2.410 6.830
-4.174 2.410 6.830
0.000 -4.819 6.830
Ce Ho Th Se
3 1 3 8
direct
0.000 0.500 0.500
0.500 0.000 0.500
0.500 0.500 0.000
0.500 0.500 0.500
0.000 0.000 0.500
0.000 0.500 0.000
0.500 0.000 0.000
0.251 0.251 0.251
0.252 0.252 0.748
0.252 0.748 0.252
0.252 0.748 0.748
0.748 0.252 0.252
0.748 0.252 0.748
0.748 0.748 0.252
0.749 0.749 0.749
```

---

Compound: NbHg
Source: Alexandria
Functional: PBE
Structure: optimized geometry

Fermi-level density of states in states/eV per cell: 4.7
Total DFT energy (no corrections) in eV/atom: -4.82

Cell and atoms, written as POSCAR:
```
NbHg
1.0
-1.588 6.075 3.519
1.588 -6.075 3.519
1.588 6.075 -3.519
Nb Hg
3 3
direct
0.000 0.000 0.000
0.633 0.240 0.393
0.846 0.240 0.607
0.346 0.653 0.694
0.419 0.419 0.000
0.959 0.653 0.306
```

---

Compound: In2MoBr2
Source: Alexandria
Functional: PBE
Structure: optimized geometry

Fermi-level density of states in states/eV per cell: 5.0
Energy relative to the elements, uncorrected in eV/atom: 0.279

Cell and atoms, written as POSCAR:
```
In2MoBr2
1.0
6.904 0.000 0.000
0.000 6.904 0.000
0.000 0.000 6.333
In Mo Br
4 2 4
direct
0.249 0.251 0.000
0.251 0.751 0.000
0.749 0.249 0.000
0.751 0.749 0.000
0.000 0.000 0.500
0.500 0.500 0.500
0.170 0.670 0.500
0.330 0.170 0.500
0.670 0.830 0.500
0.830 0.330 0.500
```

---

Compound: CsSm2Dy
Source: Alexandria
Functional: PBE
Structure: optimized geometry

Fermi-level density of states in states/eV per cell: 4.1
Total DFT energy (no corrections) in eV/atom: -3.43

Cell and atoms, written as POSCAR:
```
CsSm2Dy
1.0
1.845 1.065 13.288
-1.845 1.065 13.288
0.000 -2.130 13.288
Cs Sm Dy
1 2 1
direct
0.000 0.000 0.000
0.096 0.096 0.096
0.904 0.904 0.904
0.500 0.500 0.500
```

---

Compound: LuMgScOs
Source: Alexandria
Functional: PBE
Structure: optimized geometry

Fermi-level density of states in states/eV per cell: 3.9
Total DFT energy (no corrections) in eV/atom: -6.15

Cell and atoms, written as POSCAR:
```
LuMgScOs
1.0
0.000 3.402 3.402
3.402 0.000 3.402
3.402 3.402 0.000
Lu Mg Sc Os
1 1 1 1
direct
0.000 0.000 0.000
0.750 0.750 0.750
0.500 0.500 0.500
0.250 0.250 0.250
```

---

Compound: HoSc2Tc9
Source: Alexandria
Functional: PBE
Structure: optimized geometry

Fermi-level density of states in states/eV per cell: 12.1
Total DFT energy (no corrections) in eV/atom: -9.33

Cell and atoms, written as POSCAR:
```
HoSc2Tc9
1.0
2.630 1.519 8.636
-2.630 1.519 8.636
0.000 -3.037 8.636
Ho Sc Tc
1 2 9
direct
0.000 0.000 0.000
0.144 0.144 0.144
0.856 0.856 0.856
0.075 0.591 0.591
0.337 0.337 0.337
0.409 0.409 0.925
0.409 0.925 0.409
0.500 0.500 0.500
0.591 0.075 0.591
0.591 0.591 0.075
0.663 0.663 0.663
0.925 0.409 0.409
```

---

Compound: Rb3NbCo
Source: Alexandria
Functional: PBE
Structure: optimized geometry

Fermi-level density of states in states/eV per cell: 10.1
Total DFT energy (no corrections) in eV/atom: -2.37

Cell and atoms, written as POSCAR:
```
Rb3NbCo
1.0
6.472 0.000 0.000
0.000 6.472 0.000
0.000 0.000 6.472
Rb Nb Co
3 1 1
direct
0.000 0.000 0.500
0.000 0.500 0.000
0.500 0.000 0.000
0.500 0.500 0.500
0.000 0.000 0.000
```